## 1
Below is YPtBr2 after structural relaxation, with properties calculated at the PBE-GGA level.

Structure (POSCAR):
```
YPtBr2
1.0
2.0986 0.0000 8.9085
-1.0493 1.8174 8.9085
-1.0493 -1.8174 8.9085
Y Br Pt
1 2 1
direct
0.5000 0.5000 0.5000
0.9075 0.9075 0.9075
0.0925 0.0925 0.0925
0.0000 0.0000 0.0000
```



## 2
Below is YPtBr2 after structural relaxation, with properties calculated at the PBE-GGA level.

Structure (POSCAR):
```
YPtBr2
1.0
3.6395 -0.0021 0.0000
0.0010 3.6395 0.0000
0.0000 0.0000 6.7055
Pt Br Y
1 2 1
direct
0.5000 0.5000 0.2500
0.0000 0.0000 0.5131
0.0000 0.0000 0.9869
0.5000 0.5000 0.7500
```



## 3
Below is YPtBr2 after structural relaxation, with properties calculated at the PBE-GGA level.

Structure (POSCAR):
```
YPtBr2
1.0
-0.1651 0.2496 4.5705
2.8507 -3.5726 0.2981
3.2689 2.6063 -0.0242
Br Y Pt
2 1 1
direct
0.5000 0.5000 0.0000
0.0000 0.0000 0.0000
0.0000 0.5000 0.5000
0.5000 0.0000 0.5000
```



## 4
Below is YPtBr2 after structural relaxation, with properties calculated at the PBE-GGA level.

Structure (POSCAR):
```
YPtBr2
1.0
-4.5542 -0.6544 0.7194
-0.5787 -0.9451 -4.5230
-1.0138 -9.7646 -0.2273
Pt Y Br
2 2 4
direct
0.0000 0.0000 0.0000
0.7500 0.2500 0.5000
0.5000 0.5000 0.0000
0.2500 0.7500 0.5000
0.6364 0.1250 0.2500
0.3750 0.3636 0.7500
0.8750 0.8864 0.7500
0.1136 0.6250 0.2500
```



In terms of stability, 4 leads; the second structure lies 5.4 kJ/mol of atoms higher.



## 1
Below is YPtBr2 after structural relaxation, with properties calculated at the PBE-GGA level.

Structure (POSCAR):
```
YPtBr2
1.0
-2.2792 -2.5253 2.1515
4.1592 -3.6936 0.0707
3.7817 0.0574 4.0735
Y Br Pt
1 2 1
direct
0.5000 0.7151 0.7149
0.0000 0.9764 0.9766
0.5000 0.2845 0.2844
0.0000 0.5240 0.5241
```



## 2
Below is YPtBr2 after structural relaxation, with properties calculated at the PBE-GGA level.

Structure (POSCAR):
```
YPtBr2
1.0
0.0000 3.5399 3.5399
3.5399 0.0000 3.5399
3.5399 3.5399 0.0000
Br Y Pt
2 1 1
direct
0.7500 0.7500 0.7500
0.2500 0.2500 0.2500
0.0000 0.0000 0.0000
0.5000 0.5000 0.5000
```



In terms of stability, 1 leads; the second structure lies 41.2 kJ/mol of atoms higher.



## 1
Below is YPt3Br after structural relaxation, with properties calculated at the PBE-GGA level.

Structure (POSCAR):
```
YPt3Br
1.0
5.1876 0.0000 0.0000
0.0000 5.1876 0.0000
0.0000 0.0000 5.1876
Br Y Pt
1 1 3
direct
0.5000 0.5000 0.5000
0.0000 0.0000 0.0000
0.0000 0.0000 0.5000
0.0000 0.5000 0.0000
0.5000 0.0000 0.0000
```



## 2
Below is YPt3Br after structural relaxation, with properties calculated at the PBE-GGA level.

Structure (POSCAR):
```
YPt3Br
1.0
-1.6214 3.7626 -2.5309
-3.1903 -2.8567 -2.2031
-3.2226 0.9349 3.4544
Pt Br Y
3 1 1
direct
0.5000 0.0000 0.0000
0.0000 0.5000 0.0000
0.0000 0.0000 0.5000
0.0000 0.0000 0.0000
0.5000 0.5000 0.5000
```



In terms of stability, 2 leads; the second structure lies 62.7 kJ/mol of atoms higher.



## 1
Below is ZnPtBr2 after structural relaxation, with properties calculated at the PBE-GGA level.

Structure (POSCAR):
```
ZnPtBr2
1.0
-3.4829 0.8607 -0.2134
-0.6610 -1.9188 3.0484
1.1150 5.7307 4.9136
Br Pt Zn
2 1 1
direct
0.0000 0.0313 0.9076
0.5000 0.4144 0.3317
0.0000 0.2863 0.5903
0.5000 0.7679 0.6704
```



## 2
Below is ZnPtBr2 after structural relaxation, with properties calculated at the PBE-GGA level.

Structure (POSCAR):
```
ZnPtBr2
1.0
4.1551 -0.0372 0.0000
-2.7227 3.1390 0.0000
0.0000 0.0000 9.0011
Br Zn Pt
2 1 1
direct
0.5000 0.5000 0.3252
0.0000 0.0000 0.9278
0.5000 0.5000 0.7300
0.0000 0.0000 0.5170
```



## 3
Below is ZnPtBr2 after structural relaxation, with properties calculated at the PBE-GGA level.

Structure (POSCAR):
```
ZnPtBr2
1.0
-0.8174 3.6500 1.0398
-6.1078 -2.2532 3.1081
-2.3858 -2.3614 6.4139
Br Pt Zn
2 1 1
direct
0.0000 0.3805 0.3756
0.0000 0.1195 0.1244
0.5000 0.2500 0.2500
0.5000 0.7500 0.7500
```



In terms of stability, 1 leads; the second structure lies 7.8 kJ/mol of atoms higher.